The following is a DFT calculation (PBE) of Sr2NpGaTe5 after structural relaxation.

Output
The crystal system is orthorhombic. Its raw formation energy is -1.021 eV/atom. For the density of states at the Fermi level, the calculation gives 16.2 states/eV per cell.

```
Sr2NpGaTe5
1.0
-3.658 -2.293 1.054
5.520 -6.951 -5.331
5.949 -4.162 11.585
Sr Np Ga Te
4 2 2 10
direct
0.879 0.758 0.823
0.119 0.239 0.682
0.121 0.242 0.323
0.881 0.761 0.182
0.796 0.593 0.520
0.204 0.407 0.020
0.562 0.124 0.939
0.438 0.876 0.439
0.356 0.712 0.004
0.687 0.374 0.859
0.501 0.003 0.769
0.296 0.591 0.677
0.954 0.909 0.551
0.644 0.288 0.504
0.313 0.626 0.359
0.499 0.997 0.269
0.704 0.409 0.177
0.046 0.091 0.051
```